1.
# PPd2Br | Alexandria via LeMat-Bulk | PBE | optimized geometry
# E_form (uncorrected) = -0.158 eV/atom
# N(E_F) = 2.62 states/eV/cell
data_PPd2Br
_cell_length_a 6.3320
_cell_length_b 6.3320
_cell_length_c 8.4819
_cell_angle_alpha 90.00
_cell_angle_beta 90.00
_cell_angle_gamma 90.00
_symmetry_space_group_name_H-M 'I -4 2 d'
_symmetry_Int_Tables_number 122
_symmetry_space_group_name_Hall 'I -4 2bw'
loop_
_atom_site_label
_atom_site_fract_x
_atom_site_fract_y
_atom_site_fract_z
P1 0.0000 0.0000 0.0000
Pd1 0.1918 0.2500 0.1250
Br1 0.0000 0.0000 0.5000

=====

2.
# LiLaBRu2 | Alexandria via LeMat-Bulk | PBE | optimized geometry
# N(E_F) = 4.51 states/eV/cell
# Raw total energy = -6.28 eV per atom
data_LiLaBRu2
_cell_length_a 4.1753
_cell_length_b 4.1753
_cell_length_c 4.9925
_cell_angle_alpha 90.00
_cell_angle_beta 90.00
_cell_angle_gamma 90.00
_symmetry_space_group_name_H-M 'P 4/m m m'
_symmetry_Int_Tables_number 123
_symmetry_space_group_name_Hall '-P 4 2'
loop_
_atom_site_label
_atom_site_fract_x
_atom_site_fract_y
_atom_site_fract_z
Li1 0.0000 0.0000 0.0000
La1 0.5000 0.5000 0.0000
B1 0.5000 0.5000 0.5000
Ru1 0.0000 0.5000 0.5000

=====

3.
# TcIrOs2 | Alexandria via LeMat-Bulk | PBE | optimized geometry
# N(E_F) = 3.74 states/eV/cell
# Raw total energy = -10.42 eV per atom
data_TcIrOs2
_cell_length_a 2.7275
_cell_length_b 3.8734
_cell_length_c 5.4581
_cell_angle_alpha 90.00
_cell_angle_beta 90.00
_cell_angle_gamma 90.00
_symmetry_space_group_name_H-M 'P m m 2'
_symmetry_Int_Tables_number 25
loop_
_symmetry_equiv_pos_as_xyz
'x,y,z'
'-x,-y,z'
'-x,y,z'
'x,-y,z'
loop_
_atom_site_label
_atom_site_fract_x
_atom_site_fract_y
_atom_site_fract_z
Tc1 0.0000 0.0000 0.0000
Ir1 0.5000 0.5000 0.2494
Os1 0.0000 0.0000 0.5091
Os2 0.5000 0.5000 0.7480

=====

4.
# MnRePdSe | Alexandria via LeMat-Bulk | PBE | optimized geometry
# E_form (uncorrected) = 0.103 eV/atom
# N(E_F) = 14.15 states/eV/cell
data_MnRePdSe
_cell_length_a 2.8495
_cell_length_b 2.8495
_cell_length_c 25.5736
_cell_angle_alpha 90.00
_cell_angle_beta 90.00
_cell_angle_gamma 120.00
_symmetry_space_group_name_H-M 'R 3 m'
_symmetry_Int_Tables_number 160
_symmetry_space_group_name_Hall 'R 3 -2"'
loop_
_atom_site_label
_atom_site_fract_x
_atom_site_fract_y
_atom_site_fract_z
Mn1 0.0000 0.0000 0.0000
Re1 0.0000 0.0000 0.2540
Pd1 0.0000 0.0000 0.4995
Se1 0.0000 0.0000 0.3977

=====

5.
# BaSrIn2 | Alexandria via LeMat-Bulk | PBE | optimized geometry
# N(E_F) = 9.21 states/eV/cell
# Raw total energy = -2.47 eV per atom
data_BaSrIn2
_cell_length_a 4.1175
_cell_length_b 4.1175
_cell_length_c 32.4082
_cell_angle_alpha 90.00
_cell_angle_beta 90.00
_cell_angle_gamma 120.00
_symmetry_space_group_name_H-M 'R -3 m'
_symmetry_Int_Tables_number 166
_symmetry_space_group_name_Hall '-R 3 2"'
loop_
_atom_site_label
_atom_site_fract_x
_atom_site_fract_y
_atom_site_fract_z
Ba1 0.0000 0.0000 0.0000
Sr1 0.0000 0.0000 0.5000
In1 0.0000 0.0000 0.2470

=====

6.
# Hf2PaBi | Alexandria via LeMat-Bulk | PBE | optimized geometry
# N(E_F) = 4.85 states/eV/cell
# Raw total energy = -8.32 eV per atom
data_Hf2PaBi
_cell_length_a 4.8519
_cell_length_b 4.8519
_cell_length_c 4.0095
_cell_angle_alpha 90.00
_cell_angle_beta 90.00
_cell_angle_gamma 90.00
_symmetry_space_group_name_H-M 'P 4/m m m'
_symmetry_Int_Tables_number 123
_symmetry_space_group_name_Hall '-P 4 2'
loop_
_atom_site_label
_atom_site_fract_x
_atom_site_fract_y
_atom_site_fract_z
Hf1 0.0000 0.5000 0.0000
Pa1 0.0000 0.0000 0.5000
Bi1 0.5000 0.5000 0.5000